Record 1
## Ca2SnRh3 (GGA-PBE)

Data for Ca2SnRh3 after structural relaxation.

Geometry as POSCAR:
```
Ca2SnRh3
1.0
-1.610 2.735 7.087
1.610 -2.735 7.087
1.610 2.735 -7.087
Ca Sn Rh
2 1 3
direct
0.171 0.171 0.000
0.829 0.829 0.000
0.500 0.500 0.000
0.000 0.500 0.500
0.354 0.854 0.500
0.646 0.146 0.500
```

Calculated values
The volume is 124.9 Å³/cell. The formation energy is -0.120 eV per atom. The space group is No. 71. As for the density of states at the Fermi level: 0.6453 states/eV per atom.

Record 2
## Pm5TmIn6 (GGA-PBE)

Data for Pm5TmIn6 after structural relaxation.

Geometry as POSCAR:
```
Pm5TmIn6
1.0
-2.533 4.352 7.586
2.533 -4.352 7.586
2.533 4.352 -7.586
Pm Tm In
5 1 6
direct
0.000 0.000 0.000
0.165 0.665 0.500
0.332 0.332 0.000
0.668 0.668 0.000
0.835 0.335 0.500
0.500 0.000 0.500
0.088 0.836 0.253
0.255 0.500 0.755
0.417 0.164 0.253
0.583 0.836 0.747
0.745 0.500 0.245
0.912 0.164 0.747
```

Calculated values
The volume is 334.5 Å³/cell. The formation energy is -0.481 eV per atom. The space group is No. 71. As for the density of states at the Fermi level: 0.5754 states/eV per atom.

Record 3
## CdHgRu2 (GGA-PBE)

Data for CdHgRu2 after structural relaxation.

Geometry as POSCAR:
```
CdHgRu2
1.0
1.440 0.831 9.820
-1.440 0.831 9.820
0.000 -1.662 9.820
Cd Hg Ru
1 1 2
direct
0.000 0.000 0.000
0.233 0.233 0.233
0.482 0.482 0.482
0.749 0.749 0.749
```

Calculated values
The calculation puts the energy above the most stable polymorph in this dataset at 103 meV/atom. The volume is 70.5 Å³/cell. The formation energy is 0.300 eV per atom. The space group is No. 160. As for the density of states at the Fermi level: 0.4932 states/eV per atom.

Record 4
## Ac12Sb3Pb5 (GGA-PBE)

Data for Ac12Sb3Pb5 after structural relaxation.

Geometry as POSCAR:
```
Ac12Sb3Pb5
1.0
-9.769 9.769 9.769
9.769 -9.769 9.769
9.769 9.769 -9.769
Ac Sb Pb
48 12 20
direct
0.055 0.224 0.136
0.055 0.331 0.918
0.082 0.636 0.413
0.082 0.945 0.669
0.087 0.724 0.669
0.087 0.864 0.418
0.136 0.055 0.224
0.136 0.582 0.913
0.169 0.224 0.587
0.169 0.445 0.582
0.224 0.136 0.055
0.224 0.587 0.169
0.276 0.331 0.913
0.276 0.445 0.364
0.331 0.913 0.276
0.331 0.918 0.055
0.364 0.276 0.445
0.364 0.587 0.918
0.413 0.082 0.636
0.413 0.831 0.776
0.418 0.087 0.864
0.418 0.831 0.555
0.445 0.364 0.276
0.445 0.582 0.169
0.555 0.418 0.831
0.555 0.636 0.724
0.582 0.169 0.445
0.582 0.913 0.136
0.587 0.169 0.224
0.587 0.918 0.364
0.636 0.413 0.082
0.636 0.724 0.555
0.669 0.082 0.945
0.669 0.087 0.724
0.724 0.555 0.636
0.724 0.669 0.087
0.776 0.413 0.831
0.776 0.864 0.945
0.831 0.555 0.418
0.831 0.776 0.413
0.864 0.418 0.087
0.864 0.945 0.776
0.913 0.136 0.582
0.913 0.276 0.331
0.918 0.055 0.331
0.918 0.364 0.587
0.945 0.669 0.082
0.945 0.776 0.864
0.125 0.250 0.375
0.125 0.375 0.750
0.250 0.375 0.125
0.250 0.875 0.625
0.375 0.125 0.250
0.375 0.750 0.125
0.625 0.250 0.875
0.625 0.875 0.750
0.750 0.125 0.375
0.750 0.625 0.875
0.875 0.625 0.250
0.875 0.750 0.625
0.000 0.000 0.000
0.000 0.000 0.500
0.000 0.500 0.000
0.000 0.500 0.500
0.125 0.750 0.875
0.125 0.875 0.250
0.250 0.125 0.875
0.250 0.625 0.375
0.375 0.250 0.625
0.375 0.625 0.750
0.500 0.000 0.000
0.500 0.000 0.500
0.500 0.500 0.000
0.500 0.500 0.500
0.625 0.375 0.250
0.625 0.750 0.375
0.750 0.375 0.625
0.750 0.875 0.125
0.875 0.125 0.750
0.875 0.250 0.125
```

Calculated values
The volume is 3729.3 Å³/cell. For the formation energy without anion corrections, the calculation gives -22.7 kJ/mol of atoms. The space group is No. 230. As for the density of states at the Fermi level: 0.8808 states/eV per atom.

Record 5
## Ca4Cd5Sn6 (GGA-PBE)

Data for Ca4Cd5Sn6 after structural relaxation.

Geometry as POSCAR:
```
Ca4Cd5Sn6
1.0
2.367 -10.384 0.000
2.367 10.384 0.000
0.000 0.000 17.210
Ca Cd Sn
8 10 12
direct
0.030 0.970 0.500
0.034 0.966 0.776
0.164 0.836 0.307
0.174 0.826 0.951
0.826 0.174 0.451
0.836 0.164 0.807
0.966 0.034 0.276
0.970 0.030 0.000
0.151 0.849 0.635
0.303 0.697 0.625
0.347 0.653 0.280
0.349 0.651 0.997
0.429 0.571 0.705
0.571 0.429 0.205
0.651 0.349 0.497
0.653 0.347 0.780
0.697 0.303 0.125
0.849 0.151 0.135
0.099 0.901 0.115
0.226 0.774 0.485
0.232 0.768 0.775
0.429 0.571 0.422
0.440 0.560 0.138
0.440 0.560 0.869
0.560 0.440 0.369
0.560 0.440 0.638
0.571 0.429 0.922
0.768 0.232 0.275
0.774 0.226 0.985
0.901 0.099 0.615
```

Calculated values
The volume is 846.1 Å³/cell. The formation energy is -0.340 eV per atom. The space group is No. 36. As for the density of states at the Fermi level: 0.5165 states/eV per atom.

Record 6
## Ba5NaRh (GGA-PBE)

Data for Ba5NaRh after structural relaxation.

Geometry as POSCAR:
```
Ba5NaRh
1.0
7.309 -4.232 0.000
7.309 4.232 0.000
-5.315 0.000 11.986
Ba Na Rh
10 2 2
direct
0.014 0.370 0.618
0.034 0.966 0.750
0.184 0.579 0.968
0.370 0.014 0.118
0.421 0.816 0.532
0.579 0.184 0.468
0.630 0.986 0.882
0.816 0.421 0.032
0.966 0.034 0.250
0.986 0.630 0.382
0.494 0.506 0.250
0.506 0.494 0.750
0.000 0.000 0.000
0.000 0.000 0.500
```

Calculated values
The volume is 741.5 Å³/cell. The formation energy is -0.079 eV per atom. The space group is No. 15. As for the density of states at the Fermi level: 0.9101 states/eV per atom.